# ZnW2Br PBE optimized geometry
data_ZnW2Br
_chemical_formula_sum 'Zn1 W2 Br1'
_symmetry_space_group_name_H-M 'P 1'
_symmetry_Int_Tables_number 1
_symmetry_space_group_name_Hall 'P 1'
_cell_length_a 2.967
_cell_length_b 2.967
_cell_length_c 9.335
_cell_angle_alpha 90.00
_cell_angle_beta 90.00
_cell_angle_gamma 122.55
loop_
_atom_site_label
_atom_site_fract_x
_atom_site_fract_y
_atom_site_fract_z
_atom_site_occupancy
Zn1 0.000 0.000 0.000 1
W1 0.500 0.500 0.246 1
W2 0.500 0.500 0.754 1
Br1 0.000 0.000 0.500 1
# Raw formation energy in eV/f.u.: 3.93
# Crystal system: orthorhombic
# Energy above the lowest structure with this stoichiometry in meV per atom: 439

# Zn3WBr PBE optimized geometry
data_Zn3WBr
_chemical_formula_sum 'Zn3 W1 Br1'
_symmetry_space_group_name_H-M 'P 1'
_symmetry_Int_Tables_number 1
_symmetry_space_group_name_Hall 'P 1'
_cell_length_a 5.181
_cell_length_b 5.181
_cell_length_c 5.181
_cell_angle_alpha 90.00
_cell_angle_beta 90.00
_cell_angle_gamma 90.00
loop_
_atom_site_label
_atom_site_fract_x
_atom_site_fract_y
_atom_site_fract_z
_atom_site_occupancy
Zn1 0.000 0.000 0.500 1
Zn2 0.000 0.500 0.000 1
Zn3 0.500 0.000 0.000 1
W1 0.000 0.000 0.000 1
Br1 0.500 0.500 0.500 1
# Raw formation energy in eV/f.u.: 5.13
# Crystal system: cubic
# Energy above the lowest structure with this stoichiometry in meV per atom: 0

Number 1: final energy -24.92 eV/cell, magnetic moment 0.00 Bohr magnetons per cell. Number 2: final energy -13.32 eV/cell, magnetic moment 3.60 Bohr magnetons per cell.